[1]
# AlNi2Cl SCAN single point on PBEsol structure
# E_tot in eV per atom: -11.5527
# Spin magnetization in μB per formula unit: 0.0
# Space group: F-43m (216)
# Distance to the lowest polymorph of the same formula in eV/atom: 0.170
# Energy relative to the elements, uncorrected in eV/f.u.: 1.87
data_AlNi2Cl
_chemical_formula_sum 'Al1 Ni2 Cl1'
_cell_length_a 4.201
_cell_length_b 4.201
_cell_length_c 4.201
_cell_angle_alpha 60.00
_cell_angle_beta 60.00
_cell_angle_gamma 60.00
_symmetry_space_group_name_H-M 'P 1'
_symmetry_Int_Tables_number 1
loop_
_symmetry_equiv_pos_as_xyz
'x,y,z'
loop_
_atom_site_label
_atom_site_fract_x
_atom_site_fract_y
_atom_site_fract_z
Ni1 0.000 0.000 0.000
Ni2 0.750 0.750 0.750
Al1 0.500 0.500 0.500
Cl1 0.250 0.250 0.250

---

[2]
# AlNiS2Cl SCAN single point on PBEsol structure
# E_tot in eV per atom: -10.1997
# Spin magnetization in μB per formula unit: 1.7
# Space group: P4/mmm (123)
# Energy relative to the elements, uncorrected in eV/f.u.: 0.16
data_AlNiS2Cl
_chemical_formula_sum 'Al1 Ni1 S2 Cl1'
_cell_length_a 4.468
_cell_length_b 4.594
_cell_length_c 4.594
_cell_angle_alpha 90.00
_cell_angle_beta 90.00
_cell_angle_gamma 90.00
_symmetry_space_group_name_H-M 'P 1'
_symmetry_Int_Tables_number 1
loop_
_symmetry_equiv_pos_as_xyz
'x,y,z'
loop_
_atom_site_label
_atom_site_fract_x
_atom_site_fract_y
_atom_site_fract_z
Ni1 0.500 0.500 0.500
S1 0.000 0.000 0.500
S2 0.000 0.500 0.000
Al1 0.000 0.000 0.000
Cl1 0.500 0.000 0.000

---

[3]
# Al13Si5ClO38 SCAN single point on PBEsol structure
# E_tot in eV per atom: -9.3050
# Spin magnetization in μB per formula unit: 18.0
# Space group: F-43m (216)
# Energy relative to the elements, uncorrected in eV/f.u.: -134.77
data_Al13Si5ClO38
_chemical_formula_sum 'Al13 Si5 Cl1 O38'
_cell_length_a 9.814
_cell_length_b 9.814
_cell_length_c 9.814
_cell_angle_alpha 60.00
_cell_angle_beta 60.00
_cell_angle_gamma 60.00
_symmetry_space_group_name_H-M 'P 1'
_symmetry_Int_Tables_number 1
loop_
_symmetry_equiv_pos_as_xyz
'x,y,z'
loop_
_atom_site_label
_atom_site_fract_x
_atom_site_fract_y
_atom_site_fract_z
Al1 0.936 0.232 0.232
Al2 0.936 0.232 0.599
Al3 0.936 0.599 0.232
Al4 0.599 0.232 0.232
Al5 0.232 0.599 0.232
Al6 0.232 0.232 0.599
Al7 0.232 0.936 0.599
Al8 0.232 0.936 0.232
Al9 0.599 0.936 0.232
Al10 0.232 0.599 0.936
Al11 0.599 0.232 0.936
Al12 0.232 0.232 0.936
Al13 0.250 0.250 0.250
Si1 0.348 0.884 0.884
Si2 0.884 0.884 0.884
Si3 0.884 0.348 0.884
Si4 0.884 0.884 0.348
Si5 0.750 0.750 0.750
Cl1 0.500 0.500 0.500
O1 0.476 0.175 0.175
O2 0.175 0.175 0.175
O3 0.175 0.476 0.175
O4 0.175 0.175 0.476
O5 0.549 0.817 0.817
O6 0.817 0.817 0.817
O7 0.817 0.549 0.817
O8 0.817 0.817 0.549
O9 0.281 0.719 0.281
O10 0.281 0.281 0.719
O11 0.281 0.719 0.719
O12 0.719 0.281 0.719
O13 0.719 0.719 0.281
O14 0.719 0.281 0.281
O15 0.907 0.444 0.444
O16 0.907 0.444 0.204
O17 0.907 0.204 0.444
O18 0.204 0.444 0.444
O19 0.444 0.204 0.444
O20 0.444 0.444 0.204
O21 0.444 0.907 0.204
O22 0.444 0.907 0.444
O23 0.204 0.907 0.444
O24 0.444 0.204 0.907
O25 0.204 0.444 0.907
O26 0.444 0.444 0.907
O27 0.280 0.998 0.998
O28 0.280 0.998 0.724
O29 0.280 0.724 0.998
O30 0.724 0.998 0.998
O31 0.998 0.724 0.998
O32 0.998 0.998 0.724
O33 0.998 0.280 0.724
O34 0.998 0.280 0.998
O35 0.724 0.280 0.998
O36 0.998 0.724 0.280
O37 0.724 0.998 0.280
O38 0.998 0.998 0.280

---

[4]
# Sr3Al2Cl2O5 SCAN single point on PBEsol structure
# E_tot in eV per atom: -14.0033
# Spin magnetization in μB per formula unit: 0.0
# Space group: P2_12_12_1 (19)
# Energy relative to the elements, uncorrected in eV/f.u.: -38.60
data_Sr3Al2Cl2O5
_chemical_formula_sum 'Sr12 Al8 Cl8 O20'
_cell_length_a 9.385
_cell_length_b 9.399
_cell_length_c 9.392
_cell_angle_alpha 90.00
_cell_angle_beta 90.00
_cell_angle_gamma 90.00
_symmetry_space_group_name_H-M 'P 1'
_symmetry_Int_Tables_number 1
loop_
_symmetry_equiv_pos_as_xyz
'x,y,z'
loop_
_atom_site_label
_atom_site_fract_x
_atom_site_fract_y
_atom_site_fract_z
Sr1 0.977 0.748 0.087
Sr2 0.587 0.487 0.234
Sr3 0.765 0.913 0.502
Sr4 0.265 0.587 0.498
Sr5 0.735 0.087 0.002
Sr6 0.235 0.413 0.998
Sr7 0.477 0.752 0.913
Sr8 0.913 0.513 0.734
Sr9 0.523 0.252 0.587
Sr10 0.023 0.248 0.413
Sr11 0.087 0.013 0.766
Sr12 0.413 0.987 0.266
Al1 0.593 0.398 0.901
Al2 0.397 0.094 0.904
Al3 0.603 0.594 0.596
Al4 0.407 0.898 0.599
Al5 0.103 0.906 0.404
Al6 0.897 0.406 0.096
Al7 0.907 0.602 0.401
Al8 0.093 0.102 0.099
Cl1 0.672 0.799 0.207
Cl2 0.328 0.299 0.293
Cl3 0.284 0.687 0.181
Cl4 0.172 0.701 0.793
Cl5 0.716 0.187 0.319
Cl6 0.784 0.813 0.819
Cl7 0.216 0.313 0.681
Cl8 0.828 0.201 0.707
O1 0.489 0.735 0.647
O2 0.005 0.011 0.522
O3 0.011 0.265 0.147
O4 0.853 0.516 0.243
O5 0.733 0.353 0.020
O6 0.995 0.511 0.978
O7 0.505 0.489 0.478
O8 0.353 0.984 0.757
O9 0.267 0.853 0.480
O10 0.989 0.765 0.353
O11 0.233 0.147 0.980
O12 0.147 0.016 0.257
O13 0.523 0.007 0.504
O14 0.511 0.235 0.853
O15 0.977 0.993 0.004
O16 0.477 0.507 0.996
O17 0.767 0.647 0.520
O18 0.647 0.484 0.743
O19 0.495 0.989 0.022
O20 0.023 0.493 0.496

---

[5]
# AlOs2Cl SCAN single point on PBEsol structure
# E_tot in eV per atom: -39.7907
# Spin magnetization in μB per formula unit: 0.0
# Space group: R3m (160)
# Energy relative to the elements, uncorrected in eV/f.u.: 0.33
data_AlOs2Cl
_chemical_formula_sum 'Al1 Os2 Cl1'
_cell_length_a 2.844
_cell_length_b 2.844
_cell_length_c 9.586
_cell_angle_alpha 81.47
_cell_angle_beta 81.47
_cell_angle_gamma 60.00
_symmetry_space_group_name_H-M 'P 1'
_symmetry_Int_Tables_number 1
loop_
_symmetry_equiv_pos_as_xyz
'x,y,z'
loop_
_atom_site_label
_atom_site_fract_x
_atom_site_fract_y
_atom_site_fract_z
Os1 0.022 0.022 0.935
Os2 0.759 0.759 0.722
Al1 0.496 0.496 0.511
Cl1 0.223 0.223 0.332

---

[6]
# AlOsCl2 SCAN single point on PBEsol structure
# E_tot in eV per atom: -22.7426
# Spin magnetization in μB per formula unit: 0.0
# Space group: Fm-3m (225)
# Distance to the lowest polymorph of the same formula in eV/atom: 1.247
# Energy relative to the elements, uncorrected in eV/f.u.: 4.62
data_AlOsCl2
_chemical_formula_sum 'Al1 Os1 Cl2'
_cell_length_a 4.415
_cell_length_b 4.415
_cell_length_c 4.415
_cell_angle_alpha 60.00
_cell_angle_beta 60.00
_cell_angle_gamma 60.00
_symmetry_space_group_name_H-M 'P 1'
_symmetry_Int_Tables_number 1
loop_
_symmetry_equiv_pos_as_xyz
'x,y,z'
loop_
_atom_site_label
_atom_site_fract_x
_atom_site_fract_y
_atom_site_fract_z
Os1 0.500 0.500 0.500
Al1 0.000 0.000 0.000
Cl1 0.250 0.250 0.250
Cl2 0.750 0.750 0.750

---

[7]
# AlOsCl2 SCAN single point on PBEsol structure
# E_tot in eV per atom: -23.9893
# Spin magnetization in μB per formula unit: 0.0
# Space group: Cmm2 (35)
# Distance to the lowest polymorph of the same formula in eV/atom: 0.000
# Energy relative to the elements, uncorrected in eV/f.u.: -0.37
data_AlOsCl2
_chemical_formula_sum 'Al1 Os1 Cl2'
_cell_length_a 2.966
_cell_length_b 3.157
_cell_length_c 8.829
_cell_angle_alpha 90.00
_cell_angle_beta 90.00
_cell_angle_gamma 118.02
_symmetry_space_group_name_H-M 'P 1'
_symmetry_Int_Tables_number 1
loop_
_symmetry_equiv_pos_as_xyz
'x,y,z'
loop_
_atom_site_label
_atom_site_fract_x
_atom_site_fract_y
_atom_site_fract_z
Os1 0.000 0.000 0.514
Al1 0.500 0.000 0.739
Cl1 0.000 0.000 0.941
Cl2 0.500 0.000 0.306

---

[8]
# AlOsCl2 SCAN single point on PBEsol structure
# E_tot in eV per atom: -22.7798
# Spin magnetization in μB per formula unit: 0.0
# Space group: Cmmm (65)
# Distance to the lowest polymorph of the same formula in eV/atom: 1.210
# Energy relative to the elements, uncorrected in eV/f.u.: 4.47
data_AlOsCl2
_chemical_formula_sum 'Al1 Os1 Cl2'
_cell_length_a 2.957
_cell_length_b 4.597
_cell_length_c 4.597
_cell_angle_alpha 94.87
_cell_angle_beta 90.00
_cell_angle_gamma 90.00
_symmetry_space_group_name_H-M 'P 1'
_symmetry_Int_Tables_number 1
loop_
_symmetry_equiv_pos_as_xyz
'x,y,z'
loop_
_atom_site_label
_atom_site_fract_x
_atom_site_fract_y
_atom_site_fract_z
Os1 0.500 0.000 0.000
Al1 0.500 0.500 0.500
Cl1 0.000 0.500 0.000
Cl2 0.000 0.000 0.500

---

Look up the spin magnetization of the third one. 18.0 μB per formula unit

---

What is the spin magnetization in the fifth record? 0.0 μB per formula unit

---

Number 3 is which compound? Al13Si5ClO38

---

Which of these has the highest E_tot? Al13Si5ClO38